(a)
Compound: BaReS3
Source: the Alexandria database
Functional: PBE
Structure: optimized geometry

```
5
Lattice="4.773 0.000 0.000 0.000 4.773 0.000 0.000 0.000 4.773" Properties=species:S:1:pos:R:3 pbc="T T T"
Ba 0.000 0.000 0.000
Re 2.386 2.386 2.386
S 0.000 2.386 2.386
S 2.386 0.000 2.386
S 2.386 2.386 0.000
```

Calculated values
Crystal system: cubic

---

(b)
Compound: BaReS3
Source: the Alexandria database
Functional: PBE
Structure: optimized geometry

```
5
Lattice="5.816 0.000 0.000 0.000 5.816 0.000 0.000 0.000 5.816" Properties=species:S:1:pos:R:3 pbc="T T T"
Ba 0.000 0.000 0.000
Re 2.908 2.908 2.908
S 0.000 0.000 2.908
S 0.000 2.908 0.000
S 2.908 0.000 0.000
```

Calculated values
Crystal system: cubic

---

(c)
Compound: BaReS3
Source: the Alexandria database
Functional: PBE
Structure: optimized geometry

```
20
Lattice="8.501 0.000 0.000 0.000 6.281 0.000 -1.454 0.000 8.548" Properties=species:S:1:pos:R:3 pbc="T T T"
Ba 0.815 0.837 1.861
Ba 0.088 2.303 6.135
Ba 6.959 3.978 2.413
Ba 6.232 5.444 6.687
Re 2.825 4.637 5.099
Re 3.552 4.785 0.825
Re 3.494 1.496 7.723
Re 4.222 1.644 3.449
S 1.236 4.118 0.514
S 0.509 5.304 4.787
S 1.426 0.420 8.150
S 2.153 2.721 3.876
S 2.724 3.672 7.179
S 3.451 5.749 2.905
S 3.596 0.531 5.643
S 4.323 2.609 1.369
S 4.894 3.560 4.672
S 5.621 5.861 0.398
S 6.538 0.977 3.760
S 5.810 2.163 8.034
```

Calculated values
Crystal system: monoclinic

---

Which structure loses on stability? (b) does.

---

(a)
Compound: BaRe2S2
Source: the Alexandria database
Functional: PBE
Structure: optimized geometry

```
10
Lattice="8.152 0.000 0.000 0.000 8.152 0.000 0.000 0.000 3.032" Properties=species:S:1:pos:R:3 pbc="T T T"
Ba 0.000 0.000 0.000
Ba 4.076 4.076 0.000
Re 0.910 3.166 1.516
Re 3.166 7.243 1.516
Re 4.986 0.910 1.516
Re 7.243 4.986 1.516
S 1.035 5.111 0.000
S 3.041 1.035 0.000
S 5.111 7.118 0.000
S 7.118 3.041 0.000
```

Calculated values
Crystal system: tetragonal

---

(b)
Compound: BaRe2S2
Source: the Alexandria database
Functional: PBE
Structure: optimized geometry

```
5
Lattice="-2.050 2.050 6.071 2.050 -2.050 6.071 2.050 2.050 -6.071" Properties=species:S:1:pos:R:3 pbc="T T T"
Ba 0.000 0.000 0.000
Re 2.050 0.000 3.035
Re 0.000 2.050 3.035
S 0.000 0.000 4.204
S 0.000 0.000 7.938
```

Calculated values
Crystal system: tetragonal

---

Which structure loses on stability? (a) does.